1.
VASP calculation (PBE-GGA) on a geometry-optimized SnBr structure.

```
SnBr
1.0
0.0000 5.7371 7.4235
3.1729 0.0000 7.4235
3.1729 5.7371 0.0000
Sn Br
4 4
Cartesian
0.7932 1.4343 0.1756
0.7932 1.4343 3.5361
5.5526 10.0400 11.3108
5.5526 10.0400 14.6713
2.3797 2.5506 5.5676
3.9661 5.4191 9.2794
2.3797 6.0551 5.5676
3.9661 8.9237 9.2794
```

As for the space group: Fddd.


2.
VASP calculation (PBE-GGA) on a geometry-optimized IrC3 structure.

```
IrC3
1.0
-2.0788 2.0788 2.0788
2.0788 -2.0788 2.0788
2.0788 2.0788 -2.0788
Ir C
1 3
Cartesian
0.0000 0.0000 0.0000
2.0788 0.0000 0.0000
0.0000 2.0788 0.0000
0.0000 0.0000 2.0788
```

The calculation puts the formation energy at 9.2 eV/f.u. As for the space group: Im-3m. For the excess energy over the best structure of this formula in the dataset, the calculation gives 152.8 kJ/mol of atoms.


3.
VASP calculation (PBE-GGA) on a geometry-optimized NaAcNdSn structure.

```
NaAcNdSn
1.0
0.0000 4.0062 4.0062
4.0062 0.0000 4.0062
4.0062 4.0062 0.0000
Na Ac Nd Sn
1 1 1 1
Cartesian
0.0000 0.0000 0.0000
2.0031 2.0031 2.0031
6.0094 6.0094 6.0094
4.0062 4.0062 4.0062
```

The calculation puts the formation energy at -1.2 eV/f.u. As for the space group: F-43m.


4.
VASP calculation (PBE-GGA) on a geometry-optimized CdSiW2 structure.

```
CdSiW2
1.0
5.0451 -1.5687 0.0000
5.0451 1.5687 0.0000
-2.1440 0.0000 4.1468
Cd Si W
1 1 2
Cartesian
0.0000 0.0000 0.0000
3.9731 0.0000 2.0734
0.7233 0.0000 3.0136
7.2229 0.0000 1.1333
```

As for the space group: C2/m. For the excess energy over the best structure of this formula in the dataset, the calculation gives 11.5 kJ/mol of atoms.


5.
VASP calculation (PBE-GGA) on a geometry-optimized AlGa3C structure.

```
AlGa3C
1.0
4.3518 0.0000 0.0000
0.0000 4.3518 0.0000
0.0000 0.0000 4.3518
Al Ga C
1 3 1
Cartesian
0.0000 0.0000 0.0000
0.0000 2.1759 2.1759
2.1759 0.0000 2.1759
2.1759 2.1759 0.0000
2.1759 2.1759 2.1759
```

The calculation puts the formation energy at 3.6 eV/f.u. As for the space group: Pm-3m. For the excess energy over the best structure of this formula in the dataset, the calculation gives 0.0 kJ/mol of atoms.


6.
VASP calculation (PBE-GGA) on a geometry-optimized LiSm4Zn5 structure.

```
LiSm4Zn5
1.0
3.5870 0.0000 0.0000
0.0000 3.5870 0.0000
0.0000 0.0000 17.6306
Li Sm Zn
1 4 5
Cartesian
0.0000 0.0000 0.0000
0.0000 0.0000 3.3033
0.0000 0.0000 6.9597
0.0000 0.0000 10.6709
0.0000 0.0000 14.3273
1.7935 1.7935 1.4032
1.7935 1.7935 5.1360
1.7935 1.7935 8.8153
1.7935 1.7935 12.4946
1.7935 1.7935 16.2275
```

The calculation puts the formation energy at -2.6 eV/f.u. As for the space group: P4/mmm.


no.,E (eV/atom),spin magnetization (μB per cell)
1,-3.171,0.0
2,-6.833,0.0
3,-3.843,0.0
4,-7.583,0.0
5,-3.690,0.0
6,-2.979,0.0